1.
## IrC2 (PBEsol)

Data for a relaxed structure of IrC2.

Cell: 2.969 2.969 3.841 Å, 90.00 90.00 120.00°
Element x y z (fractional)
1 Ir 0.000 0.000 0.000
2 C 0.333 0.667 0.311
3 C 0.333 0.667 0.689

total magnetic moment = 0.00 μB/f.u.
calculated density = 12.25 g/cm3
ΔH_f (0 K) = 855 meV per atom
offset from the most stable computed form = 0 meV/atom
space-group type = P-6m2 (187)

***

2.
## Si2OsI (PBEsol)

Data for a relaxed structure of Si2OsI.

Cell: 7.133 7.133 7.133 Å, 130.93 130.93 71.92°
Element x y z (fractional)
1 Si 0.027 0.625 0.902
2 Si 0.375 0.277 0.402
3 Si 0.723 0.125 0.098
4 Si 0.875 0.973 0.598
5 Os 0.000 0.000 0.000
6 Os 0.750 0.250 0.500
7 I 0.250 0.750 0.500
8 I 0.500 0.500 0.000

total magnetic moment = 0.00 μB/f.u.
formation energy without anion corrections = 0.5124 eV/atom
calculated density = 6.12 g/cm3
space-group type = I-42d (122)

***

3.
## LiMg2Cu (PBEsol)

Data for a relaxed structure of LiMg2Cu.

Cell: 5.417 5.417 5.417 Å, 145.90 130.67 61.33°
Element x y z (fractional)
1 Li 0.000 0.000 0.000
2 Mg 0.275 0.775 0.500
3 Mg 0.553 0.553 0.000
4 Cu 0.785 0.285 0.500

total magnetic moment = 0.00 μB/f.u.
calculated density = 2.96 g/cm3
ΔH_f (0 K) = -32 meV per atom
space-group type = Imm2 (44)

***

4.
## Eu2FeP3Pt7 (PBEsol)

Data for a relaxed structure of Eu2FeP3Pt7.

Cell: 13.679 13.679 13.679 Å, 163.09 163.09 24.00°
Element x y z (fractional)
1 Eu 0.165 0.165 0.000
2 Eu 0.835 0.835 0.000
3 Fe 0.000 0.000 0.000
4 P 0.250 0.750 0.500
5 P 0.379 0.379 0.000
6 P 0.621 0.621 0.000
7 Pt 0.070 0.570 0.500
8 Pt 0.292 0.292 0.000
9 Pt 0.430 0.930 0.500
10 Pt 0.500 0.500 0.000
11 Pt 0.571 0.071 0.500
12 Pt 0.708 0.708 0.000
13 Pt 0.929 0.429 0.500

total magnetic moment = 17.72 μB/f.u.
calculated density = 13.95 g/cm3
ΔH_f (0 K) = -815 meV per atom
space-group type = I-4m2 (119)

***

5.
## AgSn3H (PBEsol)

Data for a relaxed structure of AgSn3H.

Cell: 4.632 4.632 4.632 Å, 90.00 90.00 90.00°
Element x y z (fractional)
1 Ag 0.000 0.000 0.000
2 Sn 0.000 0.500 0.500
3 Sn 0.500 0.000 0.500
4 Sn 0.500 0.500 0.000
5 H 0.500 0.500 0.500

total magnetic moment = 0.00 μB/f.u.
calculated density = 7.77 g/cm3
E = -3.61 eV/atom
space-group type = Pm-3m (221)

***

6.
## HoTiFe11 (PBEsol)

Data for a relaxed structure of HoTiFe11.

Cell: 6.270 6.270 6.270 Å, 136.69 97.86 97.80°
Element x y z (fractional)
1 Ho 0.000 0.000 0.000
2 Ti 0.378 0.378 0.000
3 Fe 0.002 0.003 0.498
4 Fe 0.002 0.504 0.000
5 Fe 0.220 0.506 0.714
6 Fe 0.232 0.732 0.500
7 Fe 0.360 0.004 0.356
8 Fe 0.505 0.003 0.000
9 Fe 0.505 0.504 0.502
10 Fe 0.648 0.004 0.644
11 Fe 0.653 0.653 0.000
12 Fe 0.774 0.274 0.500
13 Fe 0.791 0.506 0.286

total magnetic moment = 18.31 μB/f.u.
calculated density = 8.74 g/cm3
ΔH_f (0 K) = -70 meV per atom
space-group type = Imm2 (44)

***

Quick rundown of D(E_F), same order as above: 0.272 0.466 0.377 1.942 0.310 1.160 states/eV/atom